1.
Here is NaErPaSe4 after structural relaxation from Alexandria. Energies are from PBE-GGA.

Results
VASP energy: -5.703 eV per atom
Formation energy (no corrections): -10.61 eV per formula unit

Unit cell a=8.408 b=8.642 c=11.958 alpha=90.00 beta=90.00 gamma=90.00
Space group Imma (No. 74)
Unique sites:
Na 0.000 0.250 0.134 x4
Er 0.250 0.250 0.750 x4
Pa 0.000 0.000 0.500 x4
Se 0.000 0.026 0.738 x8
Se 0.228 0.250 0.510 x8

---

2.
Here is Na4Er3PaSe8 after structural relaxation from Alexandria. Energies are from PBE-GGA.

Results
VASP energy: -5.091 eV per atom
Formation energy (no corrections): -25.12 eV per formula unit

Unit cell a=8.2359 b=8.2359 c=21.0958 alpha=90.00 beta=90.00 gamma=120.00
Space group R-3m (No. 166, hexagonal axes)
Unique sites:
Na 0.0000 0.0000 0.0000 x3
Na 0.0000 0.5000 0.0000 x9
Er 0.0000 0.5000 0.5000 x9
Pa 0.0000 0.0000 0.5000 x3
Se 0.0000 0.0000 0.2427 x6
Se 0.0031 0.5016 0.7561 x18

---

3.
Here is Na3Er3PaTe8 after structural relaxation from Alexandria. Energies are from PBE-GGA.

Results
VASP energy: -4.679 eV per atom
Formation energy (no corrections): -17.91 eV per formula unit

Unit cell a=15.217 b=8.788 c=9.141 alpha=90.00 beta=123.74 gamma=90.00
Space group C2/m (No. 12)
Unique sites:
Na 0.000 0.000 0.000 x2
Na 0.250 0.250 0.000 x4
Er 0.000 0.500 0.500 x2
Er 0.250 0.250 0.500 x4
Pa 0.000 0.000 0.500 x2
Te 0.008 0.253 0.270 x8
Te 0.243 0.500 0.730 x4
Te 0.246 0.000 0.730 x4

---

4.
Here is Na3ErPb12 after structural relaxation from Alexandria. Energies are from PBE-GGA.

Results
VASP energy: -3.464 eV per atom
E_form: -14.46 kJ per mole of atoms

Unit cell a=4.853 b=4.853 c=20.084 alpha=90.00 beta=90.00 gamma=90.00
Space group P4/mmm (No. 123)
Unique sites:
Na 0.000 0.000 0.000 x1
Na 0.000 0.000 0.252 x2
Er 0.000 0.000 0.500 x1
Pb 0.000 0.500 0.125 x4
Pb 0.000 0.500 0.376 x4
Pb 0.500 0.500 0.000 x1
Pb 0.500 0.500 0.249 x2
Pb 0.500 0.500 0.500 x1

---

5.
Here is NaEr3Pb12 after structural relaxation from Alexandria. Energies are from PBE-GGA.

Results
VASP energy: -3.933 eV per atom
E_form: -20.64 kJ per mole of atoms

Unit cell a=4.847 b=4.847 c=19.753 alpha=90.00 beta=90.00 gamma=90.00
Space group P4/mmm (No. 123)
Unique sites:
Na 0.000 0.000 0.000 x1
Er 0.000 0.000 0.255 x2
Er 0.000 0.000 0.500 x1
Pb 0.000 0.500 0.126 x4
Pb 0.000 0.500 0.376 x4
Pb 0.500 0.500 0.000 x1
Pb 0.500 0.500 0.250 x2
Pb 0.500 0.500 0.500 x1

---

6.
Here is NaErPb3 after structural relaxation from Alexandria. Energies are from PBE-GGA.

Results
VASP energy: -3.593 eV per atom
E_form: -18.53 kJ per mole of atoms
ΔE to the lowest computed polymorph: 0.0 meV per atom

Unit cell a=6.476 b=14.088 c=6.382 alpha=90.00 beta=90.14 gamma=90.00
Space group P2/c (No. 13)
Unique sites:
Na 0.000 0.102 0.250 x2
Na 0.500 0.102 0.250 x2
Er 0.249 0.316 0.997 x4
Pb 0.000 0.495 0.750 x2
Pb 0.250 0.107 0.790 x4
Pb 0.250 0.290 0.489 x4
Pb 0.500 0.495 0.750 x2